1.
{"formula": "Li3CaCd2", "functional": "PBE", "state": "optimized geometry", "cell": [[4.8188, 0.0000, 0.0000], [-2.4094, 4.1732, 0.0000], [0.0000, 0.0000, 13.6832]], "species": ["Li", "Li", "Li", "Li", "Li", "Li", "Ca", "Ca", "Cd", "Cd", "Cd", "Cd"], "frac_coords": [[0.0000, 0.0000, 0.5000], [0.0000, 0.0000, 0.0000], [0.6667, 0.3333, 0.5864], [0.3333, 0.6667, 0.0864], [0.6667, 0.3333, 0.9136], [0.3333, 0.6667, 0.4136], [0.0000, 0.0000, 0.2500], [0.0000, 0.0000, 0.7500], [0.6667, 0.3333, 0.3845], [0.3333, 0.6667, 0.6155], [0.3333, 0.6667, 0.8845], [0.6667, 0.3333, 0.1155]], "formation_enthalpy_0k_ev_per_atom": -0.192, "volume_a3_per_atom": 22.93, "dos_ef_per_ev_cell": 6.426, "m_tot_mub_per_cell": 0.00, "relative_energy_mev_per_atom": 12.8}

***

2.
{"formula": "LiCaCd14", "functional": "PBE", "state": "optimized geometry", "cell": [[6.4920, -0.0140, 0.0000], [0.0136, 6.4920, 0.0000], [0.0000, 0.0000, 8.6724]], "species": ["Li", "Ca", "Cd", "Cd", "Cd", "Cd", "Cd", "Cd", "Cd", "Cd", "Cd", "Cd", "Cd", "Cd", "Cd", "Cd"], "frac_coords": [[0.3750, 0.3750, 0.5000], [0.8750, 0.8750, 0.5000], [0.8750, 0.8750, 0.0000], [0.3750, 0.3750, 0.0000], [0.8750, 0.3750, 0.5000], [0.8750, 0.3750, 0.0000], [0.3750, 0.8750, 0.5000], [0.3750, 0.8750, 0.0000], [0.6189, 0.1311, 0.2464], [0.6189, 0.1311, 0.7536], [0.1311, 0.6189, 0.2464], [0.1311, 0.6189, 0.7536], [0.6189, 0.6189, 0.2464], [0.6189, 0.6189, 0.7536], [0.1311, 0.1311, 0.2465], [0.1311, 0.1311, 0.7535]], "formation_enthalpy_0k_ev_per_atom": -0.096, "volume_a3_per_atom": 22.84, "dos_ef_per_ev_cell": 5.750, "m_tot_mub_per_cell": 0.00}

***

3.
{"formula": "LiCaCd2", "functional": "PBE", "state": "optimized geometry", "cell": [[3.5730, 0.0000, 0.0000], [0.0000, 3.5714, 0.0000], [0.0000, 0.0000, 7.3758]], "species": ["Ca", "Li", "Cd", "Cd"], "frac_coords": [[0.5000, 0.5000, 0.7500], [0.5000, 0.5000, 0.2500], [0.0000, 0.0000, 0.0432], [0.0000, 0.0000, 0.4568]], "formation_enthalpy_0k_ev_per_atom": -0.288, "volume_a3_per_atom": 23.53, "dos_ef_per_ev_cell": 1.850, "m_tot_mub_per_cell": 0.00, "relative_energy_mev_per_atom": 0.0}

***

4.
{"formula": "Li4Ca5Cd2", "functional": "PBE", "state": "optimized geometry", "cell": [[3.9012, 0.0000, 0.0000], [0.0000, 9.0311, 0.0000], [0.0000, 0.0000, 18.9032]], "species": ["Li", "Li", "Li", "Li", "Li", "Li", "Li", "Li", "Ca", "Ca", "Ca", "Ca", "Ca", "Ca", "Ca", "Ca", "Ca", "Ca", "Cd", "Cd", "Cd", "Cd"], "frac_coords": [[0.5000, 0.2948, 0.5631], [0.5000, 0.7052, 0.4369], [0.5000, 0.7948, 0.9369], [0.5000, 0.2052, 0.0631], [0.5000, 0.3822, 0.8454], [0.5000, 0.6178, 0.1546], [0.5000, 0.8822, 0.6546], [0.5000, 0.1178, 0.3454], [0.0000, 0.5000, 0.0000], [0.0000, 0.0000, 0.5000], [0.0000, 0.3037, 0.2049], [0.0000, 0.6963, 0.7951], [0.0000, 0.8037, 0.2951], [0.0000, 0.1963, 0.7049], [0.0000, 0.3885, 0.4175], [0.0000, 0.6115, 0.5825], [0.0000, 0.8885, 0.0825], [0.0000, 0.1115, 0.9175], [0.5000, 0.5153, 0.2997], [0.5000, 0.4847, 0.7003], [0.5000, 0.0153, 0.2003], [0.5000, 0.9847, 0.7997]], "formation_enthalpy_0k_ev_per_atom": -0.097, "volume_a3_per_atom": 30.27, "dos_ef_per_ev_cell": 16.533, "m_tot_mub_per_cell": 0.00}

***

5.
{"formula": "LiCa14Cd", "functional": "PBE", "state": "optimized geometry", "cell": [[-0.5230, -7.6026, -1.2055], [6.8675, 0.0837, -3.5153], [4.7085, -1.7758, 9.1561]], "species": ["Li", "Ca", "Ca", "Ca", "Ca", "Ca", "Ca", "Ca", "Ca", "Ca", "Ca", "Ca", "Ca", "Ca", "Ca", "Cd"], "frac_coords": [[0.8727, 0.1273, 0.0000], [0.3711, 0.6289, 0.5000], [0.8785, 0.1215, 0.5000], [0.8609, 0.6146, 0.0000], [0.8765, 0.6268, 0.5000], [0.3854, 0.1391, 0.0000], [0.3732, 0.1235, 0.5000], [0.6213, 0.8722, 0.7668], [0.6213, 0.8722, 0.2332], [0.1278, 0.3787, 0.7668], [0.1278, 0.3787, 0.2332], [0.1289, 0.8711, 0.7761], [0.1289, 0.8711, 0.2239], [0.6218, 0.3782, 0.7573], [0.6218, 0.3782, 0.2427], [0.3821, 0.6179, 0.0000]], "formation_enthalpy_0k_ev_per_atom": -0.006, "volume_a3_per_atom": 38.87, "dos_ef_per_ev_cell": 17.834, "m_tot_mub_per_cell": 0.00}

***

6.
{"formula": "Li3Ca3Cd2", "functional": "PBE", "state": "optimized geometry", "cell": [[6.1770, 0.0000, 0.0000], [0.0000, 8.5601, 0.0000], [0.0000, 0.0000, 16.7552]], "species": ["Li", "Li", "Li", "Li", "Li", "Li", "Li", "Li", "Li", "Li", "Li", "Li", "Ca", "Ca", "Ca", "Ca", "Ca", "Ca", "Ca", "Ca", "Ca", "Ca", "Ca", "Ca", "Cd", "Cd", "Cd", "Cd", "Cd", "Cd", "Cd", "Cd"], "frac_coords": [[0.1309, 0.1730, 0.2500], [0.6309, 0.3270, 0.7500], [0.8691, 0.8270, 0.7500], [0.3691, 0.6730, 0.2500], [0.5944, 0.3247, 0.4653], [0.0944, 0.1753, 0.5347], [0.4056, 0.6753, 0.9653], [0.9056, 0.8247, 0.0347], [0.4056, 0.6753, 0.5347], [0.9056, 0.8247, 0.4653], [0.5944, 0.3247, 0.0347], [0.0944, 0.1753, 0.9653], [0.1203, 0.4656, 0.3928], [0.6203, 0.0344, 0.6072], [0.8797, 0.5344, 0.8928], [0.3797, 0.9656, 0.1072], [0.8797, 0.5344, 0.6072], [0.3797, 0.9656, 0.3928], [0.1203, 0.4656, 0.1072], [0.6203, 0.0344, 0.8928], [0.6374, 0.3322, 0.2500], [0.1374, 0.1678, 0.7500], [0.3626, 0.6678, 0.7500], [0.8626, 0.8322, 0.2500], [0.8770, 0.1165, 0.3898], [0.3770, 0.3835, 0.6102], [0.1230, 0.8835, 0.8898], [0.6230, 0.6165, 0.1102], [0.1230, 0.8835, 0.6102], [0.6230, 0.6165, 0.3898], [0.8770, 0.1165, 0.1102], [0.3770, 0.3835, 0.8898]], "formation_enthalpy_0k_ev_per_atom": -0.172, "volume_a3_per_atom": 27.69, "dos_ef_per_ev_cell": 23.446, "m_tot_mub_per_cell": 0.00, "relative_energy_mev_per_atom": 0.0}

***

7.
{"formula": "LiCaCd2", "functional": "PBE", "state": "optimized geometry", "cell": [[-5.1107, -0.7530, -0.0812], [-2.7550, 0.5065, 4.3412], [-3.2109, 4.0074, 0.5691]], "species": ["Ca", "Li", "Cd", "Cd"], "frac_coords": [[0.5000, 0.5000, 0.5000], [0.0000, 0.0000, 0.0000], [0.2500, 0.2500, 0.2500], [0.7500, 0.7500, 0.7500]], "formation_enthalpy_0k_ev_per_atom": -0.242, "volume_a3_per_atom": 24.38, "dos_ef_per_ev_cell": 2.736, "m_tot_mub_per_cell": 0.00, "relative_energy_mev_per_atom": 46.8}

***

8.
{"formula": "Li2Ca2Cd15", "functional": "PBE", "state": "optimized geometry", "cell": [[-1.7368, 5.0452, -5.5428], [2.2713, -4.2410, -6.0040], [-6.8803, -2.8756, -1.8936]], "species": ["Li", "Li", "Ca", "Ca", "Cd", "Cd", "Cd", "Cd", "Cd", "Cd", "Cd", "Cd", "Cd", "Cd", "Cd", "Cd", "Cd", "Cd", "Cd"], "frac_coords": [[0.1002, 0.1002, 0.1002], [0.8998, 0.8998, 0.8998], [0.3394, 0.3394, 0.3394], [0.6606, 0.6606, 0.6606], [0.5000, 0.0000, 0.0000], [0.0000, 0.0000, 0.5000], [0.0000, 0.5000, 0.0000], [0.0000, 0.7047, 0.2953], [0.7047, 0.2953, 0.0000], [0.2953, 0.0000, 0.7047], [0.2953, 0.7047, 0.0000], [0.7047, 0.0000, 0.2953], [0.0000, 0.2953, 0.7047], [0.1543, 0.6442, 0.6442], [0.6442, 0.6442, 0.1543], [0.6442, 0.1543, 0.6442], [0.8457, 0.3558, 0.3558], [0.3558, 0.3558, 0.8457], [0.3558, 0.8457, 0.3558]], "formation_enthalpy_0k_ev_per_atom": -0.161, "volume_a3_per_atom": 23.37, "dos_ef_per_ev_cell": 6.855, "m_tot_mub_per_cell": 0.00}

***

9.
{"formula": "LiCa5Cd", "functional": "PBE", "state": "optimized geometry", "cell": [[6.8371, -1.0346, -0.8685], [1.1880, 6.8121, -0.8685], [1.9851, 1.4291, 10.2427]], "species": ["Li", "Li", "Ca", "Ca", "Ca", "Ca", "Ca", "Ca", "Ca", "Ca", "Ca", "Ca", "Cd", "Cd"], "frac_coords": [[0.0000, 0.0000, 0.0000], [0.0000, 0.0000, 0.5000], [0.0609, 0.6178, 0.1682], [0.2478, 0.4103, 0.5052], [0.6178, 0.0609, 0.6682], [0.8428, 0.1572, 0.2500], [0.5897, 0.7522, 0.9948], [0.4103, 0.2478, 0.0052], [0.1572, 0.8428, 0.7500], [0.3822, 0.9391, 0.3318], [0.7522, 0.5897, 0.4948], [0.9391, 0.3822, 0.8318], [0.5111, 0.4889, 0.2500], [0.4889, 0.5111, 0.7500]], "formation_enthalpy_0k_ev_per_atom": 0.001, "volume_a3_per_atom": 36.44, "dos_ef_per_ev_cell": 16.060, "m_tot_mub_per_cell": 0.00}

***

10.
{"formula": "Li6Ca3Cd2", "functional": "PBE", "state": "optimized geometry", "cell": [[-5.1108, -5.0856, 5.2489], [3.3278, -4.9637, -6.6199], [6.6908, 3.4354, 4.7923]], "species": ["Li", "Li", "Li", "Li", "Li", "Li", "Li", "Li", "Li", "Li", "Li", "Li", "Ca", "Ca", "Ca", "Ca", "Ca", "Ca", "Cd", "Cd", "Cd", "Cd"], "frac_coords": [[0.6626, 0.3252, 0.6626], [0.6626, 0.0000, 0.3374], [0.3374, 0.0000, 0.6626], [0.3374, 0.6748, 0.3374], [0.0000, 0.6626, 0.3374], [0.6748, 0.3374, 0.3374], [0.3252, 0.6626, 0.6626], [0.0000, 0.3374, 0.6626], [0.3374, 0.6626, 0.0000], [0.6626, 0.6626, 0.3252], [0.3374, 0.3374, 0.6748], [0.6626, 0.3374, 0.0000], [0.7348, 0.0000, 0.7348], [0.2652, 0.0000, 0.2652], [0.0000, 0.2652, 0.2652], [0.0000, 0.7348, 0.7348], [0.2652, 0.2652, 0.0000], [0.7348, 0.7348, 0.0000], [0.0000, 0.5000, 0.0000], [0.5000, 0.0000, 0.0000], [0.0000, 0.0000, 0.5000], [0.5000, 0.5000, 0.5000]], "formation_enthalpy_0k_ev_per_atom": -0.142, "volume_a3_per_atom": 24.82, "dos_ef_per_ev_cell": 13.746, "m_tot_mub_per_cell": 0.00}

***

11.
{"formula": "Li7CaCd5", "functional": "PBE", "state": "optimized geometry", "cell": [[-1.0181, -4.3570, -3.6139], [-0.1348, -6.6470, 3.4751], [-7.3238, -1.3972, -0.8291]], "species": ["Li", "Li", "Li", "Li", "Li", "Li", "Li", "Ca", "Cd", "Cd", "Cd", "Cd", "Cd"], "frac_coords": [[0.6510, 0.3490, 0.3490], [0.3447, 0.6553, 0.6553], [0.9975, 0.3548, 0.6502], [0.9975, 0.6502, 0.3548], [0.2838, 0.2162, 0.2162], [0.5037, 0.7797, 0.2128], [0.5037, 0.2128, 0.7797], [0.9995, 0.0005, 0.0005], [0.5010, 0.0054, 0.4891], [0.0045, 0.0054, 0.4891], [0.5010, 0.4891, 0.0054], [0.0045, 0.4891, 0.0054], [0.7075, 0.7925, 0.7925]], "formation_enthalpy_0k_ev_per_atom": -0.203, "volume_a3_per_atom": 21.24, "dos_ef_per_ev_cell": 5.157, "m_tot_mub_per_cell": 0.00}

***

12.
{"formula": "Li8Ca3Cd3", "functional": "PBE", "state": "optimized geometry", "cell": [[4.6364, 0.0000, 1.2057], [1.7220, 8.2890, 2.8953], [0.1497, 0.2826, 8.9417]], "species": ["Li", "Li", "Li", "Li", "Li", "Li", "Li", "Li", "Ca", "Ca", "Ca", "Cd", "Cd", "Cd"], "frac_coords": [[0.6183, 0.1054, 0.6580], [0.3817, 0.8946, 0.3420], [0.6183, 0.6580, 0.1054], [0.3817, 0.3420, 0.8946], [0.8153, 0.8284, 0.5409], [0.1847, 0.1716, 0.4591], [0.8153, 0.5409, 0.8284], [0.1847, 0.4591, 0.1716], [0.5000, 0.5000, 0.5000], [0.8293, 0.1707, 0.1707], [0.1707, 0.8293, 0.8293], [0.5000, 0.0000, 0.0000], [0.0000, 0.7588, 0.2412], [0.0000, 0.2412, 0.7588]], "formation_enthalpy_0k_ev_per_atom": -0.110, "volume_a3_per_atom": 24.21, "dos_ef_per_ev_cell": 6.506, "m_tot_mub_per_cell": 0.00}

***

13.
{"formula": "Li4CaCd5", "functional": "PBE", "state": "optimized geometry", "cell": [[-2.1939, 2.6522, -0.4774], [-2.6832, -2.0928, 0.7044], [1.2159, 3.9543, 16.3787]], "species": ["Li", "Li", "Li", "Li", "Ca", "Cd", "Cd", "Cd", "Cd", "Cd"], "frac_coords": [[0.0000, 0.0000, 0.2212], [0.0000, 0.0000, 0.4073], [0.0000, 0.0000, 0.5927], [0.0000, 0.0000, 0.7788], [0.0000, 0.0000, 0.0000], [0.5000, 0.5000, 0.1313], [0.5000, 0.5000, 0.3140], [0.5000, 0.5000, 0.5000], [0.5000, 0.5000, 0.6860], [0.5000, 0.5000, 0.8687]], "formation_enthalpy_0k_ev_per_atom": -0.269, "volume_a3_per_atom": 20.40, "dos_ef_per_ev_cell": 3.438, "m_tot_mub_per_cell": 0.00}

***

14.
{"formula": "Li2Ca3Cd", "functional": "PBE", "state": "optimized geometry", "cell": [[-3.8480, 0.1336, -0.4721], [-0.0875, -3.8596, -0.3789], [-1.4921, -1.1289, 11.8426]], "species": ["Li", "Li", "Ca", "Ca", "Ca", "Cd"], "frac_coords": [[0.5000, 0.5000, 0.8303], [0.5000, 0.5000, 0.1697], [0.0000, 0.0000, 0.0000], [0.0000, 0.0000, 0.6576], [0.0000, 0.0000, 0.3424], [0.5000, 0.5000, 0.5000]], "formation_enthalpy_0k_ev_per_atom": -0.117, "volume_a3_per_atom": 30.07, "dos_ef_per_ev_cell": 4.850, "m_tot_mub_per_cell": 0.00, "relative_energy_mev_per_atom": 3.0}

***

15.
{"formula": "Li2Ca3Cd3", "functional": "PBE", "state": "optimized geometry", "cell": [[-3.2318, -1.1429, 1.8184], [-2.1356, -1.4011, -4.6762], [6.5916, -8.1342, 2.4624]], "species": ["Li", "Li", "Ca", "Ca", "Ca", "Cd", "Cd", "Cd"], "frac_coords": [[0.2626, 0.7626, 0.5252], [0.7374, 0.2374, 0.4748], [0.3710, 0.3710, 0.7421], [0.6290, 0.6290, 0.2579], [0.5000, 0.0000, 0.0000], [0.8645, 0.8645, 0.7289], [0.0000, 0.5000, 0.0000], [0.1355, 0.1355, 0.2711]], "formation_enthalpy_0k_ev_per_atom": -0.249, "volume_a3_per_atom": 26.46, "dos_ef_per_ev_cell": 5.994, "m_tot_mub_per_cell": 0.00}

***

16.
{"formula": "LiCa2Cd4", "functional": "PBE", "state": "optimized geometry", "cell": [[-2.5421, 3.9452, -1.7726], [2.1369, -0.6420, -4.4934], [-5.2873, -6.0779, 1.1546]], "species": ["Li", "Ca", "Ca", "Cd", "Cd", "Cd", "Cd"], "frac_coords": [[0.0000, 0.0000, 0.0000], [0.7488, 0.7488, 0.4977], [0.2512, 0.2512, 0.5023], [0.4003, 0.9003, 0.8007], [0.9003, 0.4003, 0.8007], [0.5997, 0.0997, 0.1993], [0.0997, 0.5997, 0.1993]], "formation_enthalpy_0k_ev_per_atom": -0.188, "volume_a3_per_atom": 26.34, "dos_ef_per_ev_cell": 3.346, "m_tot_mub_per_cell": 0.00}

***

17.
{"formula": "Li5Ca3Cd2", "functional": "PBE", "state": "optimized geometry", "cell": [[-2.6857, 3.6037, -0.1669], [-8.5888, -6.4605, -1.2883], [-1.2720, -0.4505, 10.7398]], "species": ["Li", "Li", "Li", "Li", "Li", "Li", "Li", "Li", "Li", "Li", "Ca", "Ca", "Ca", "Ca", "Ca", "Ca", "Cd", "Cd", "Cd", "Cd"], "frac_coords": [[0.5000, 0.2239, 0.0709], [0.5000, 0.7761, 0.9291], [0.5000, 0.9291, 0.2239], [0.5000, 0.0709, 0.7761], [0.5000, 0.2761, 0.5709], [0.5000, 0.7239, 0.4291], [0.5000, 0.5709, 0.7239], [0.5000, 0.4291, 0.2761], [0.5000, 0.0000, 0.5000], [0.5000, 0.5000, 0.0000], [0.0000, 0.3238, 0.8238], [0.0000, 0.6762, 0.1762], [0.0000, 0.1762, 0.3238], [0.0000, 0.8238, 0.6762], [0.0000, 0.0000, 0.0000], [0.0000, 0.5000, 0.5000], [0.0000, 0.1172, 0.6172], [0.0000, 0.8828, 0.3828], [0.0000, 0.3828, 0.1172], [0.0000, 0.6172, 0.8828]], "formation_enthalpy_0k_ev_per_atom": -0.132, "volume_a3_per_atom": 26.35, "dos_ef_per_ev_cell": 11.015, "m_tot_mub_per_cell": 0.00}

***

18.
{"formula": "Li3CaCd2", "functional": "PBE", "state": "optimized geometry", "cell": [[-4.0104, -0.3439, -2.1930], [-1.7929, -7.4676, -0.3407], [-5.8113, -1.5332, 6.0772]], "species": ["Li", "Li", "Li", "Li", "Li", "Li", "Ca", "Ca", "Cd", "Cd", "Cd", "Cd"], "frac_coords": [[0.7333, 0.1054, 0.4280], [0.0527, 0.2846, 0.6100], [0.4258, 0.4660, 0.6824], [0.5742, 0.5340, 0.3176], [0.9473, 0.7154, 0.3900], [0.2667, 0.8946, 0.5720], [0.1326, 0.7413, 0.9935], [0.8674, 0.2587, 0.0065], [0.5765, 0.0579, 0.7891], [0.4235, 0.9421, 0.2109], [0.1984, 0.3300, 0.2732], [0.8016, 0.6700, 0.7268]], "formation_enthalpy_0k_ev_per_atom": -0.205, "volume_a3_per_atom": 22.40, "dos_ef_per_ev_cell": 6.003, "m_tot_mub_per_cell": 0.00, "relative_energy_mev_per_atom": 0.0}

***

19.
{"formula": "LiCaCd2", "functional": "PBE", "state": "optimized geometry", "cell": [[-2.9181, -4.1493, -2.0637], [2.0898, -0.8170, -4.9956], [2.6046, 0.3008, 4.8080]], "species": ["Ca", "Li", "Cd", "Cd"], "frac_coords": [[0.7500, 0.2500, 0.5000], [0.2500, 0.7500, 0.5000], [0.0002, 0.0002, 0.0000], [0.4998, 0.4998, 0.0000]], "formation_enthalpy_0k_ev_per_atom": -0.243, "volume_a3_per_atom": 24.27, "dos_ef_per_ev_cell": 2.013, "m_tot_mub_per_cell": 0.00, "relative_energy_mev_per_atom": 45.1}